# 1
Material: Tb3TmPd4
Method: DFT, PBE
State: optimized geometry

## Properties
Formation energy   -0.9285 eV/atom
Theoretical density   10.052 g cm⁻³

Cell: 5.5990 4.5545 6.9410 Å, 90.00 90.42 90.00°
Closest atoms and distances in Å follow each position.
Element x y z (fractional)
1 Tb 0.0000 0.0000 0.0000  7 Pd 2.90-3.06
2 Tb 0.2140 0.0000 0.4989  7 Pd 2.88-3.02
3 Tb 0.5019 0.5000 0.8639  7 Pd 2.92-3.02
4 Tm 0.7156 0.5000 0.3629  7 Pd 2.90-3.02
5 Pd 0.0107 0.5000 0.7207  6 Tb 2.92-3.02, 2 Pd 2.92, 1 Tm 2.97
6 Pd 0.2027 0.5000 0.2248  2 Tm 2.90-3.02, 2 Pd 2.93, 5 Tb 2.97-3.02
7 Pd 0.5162 0.0000 0.1462  5 Tb 2.90-3.06, 2 Pd 2.93, 2 Tm 2.94
8 Pd 0.7026 0.0000 0.6321  5 Tb 2.88-3.04, 2 Pd 2.92, 2 Tm 2.95

---

# 2
Material: Ba3Zn2Bi2Sb2
Method: DFT, PBE
State: optimized geometry

## Properties
Theoretical density   6.304 g cm⁻³
Electronic total energy   -30.81 eV for the cell shown

Cell: 9.4334 9.4334 7.7385 Å, 112.36 112.36 30.07°
Closest atoms and distances in Å follow each position.
Element x y z (fractional)
1 Ba 0.0000 0.0000 0.0000  4 Sb 3.45, 2 Bi 3.47
2 Ba 0.1391 0.1391 0.6055  3 Zn 3.57-3.81, 3 Bi 3.60-3.96, 4 Sb 3.68
3 Ba 0.8609 0.8609 0.3945  3 Zn 3.57-3.81, 3 Bi 3.60-3.96, 4 Sb 3.68
4 Zn 0.3343 0.3343 0.0391  1 Sb 2.83, 3 Bi 2.90-2.92
5 Zn 0.6657 0.6657 0.9609  1 Sb 2.83, 3 Bi 2.90-2.92
6 Bi 0.2072 0.2072 0.1790  3 Zn 2.90-2.92
7 Bi 0.7928 0.7928 0.8210  3 Zn 2.90-2.92
8 Sb 0.4935 0.4935 0.3086  1 Zn 2.83, 1 Sb 2.88
9 Sb 0.5065 0.5065 0.6914  1 Zn 2.83, 1 Sb 2.88

---

# 3
Material: Nd4TlOs
Method: DFT, PBE
State: optimized geometry

## Properties
Theoretical density   8.824 g cm⁻³
Electronic total energy   -67.93 eV for the cell shown

Cell: 8.1216 8.1216 6.3312 Å, 99.59 99.59 113.24°
Closest atoms and distances in Å follow each position.
Element x y z (fractional)
1 Nd 0.0590 0.7207 0.9510  2 Os 2.93-2.95
2 Nd 0.2024 0.3546 0.6076  2 Os 3.00-3.07, 1 Tl 3.31
3 Nd 0.2793 0.9410 0.5490  2 Os 2.93-2.95
4 Nd 0.3546 0.2024 0.1076  2 Os 3.00-3.07, 1 Tl 3.31
5 Nd 0.6454 0.7976 0.8924  2 Os 3.00-3.07, 1 Tl 3.31
6 Nd 0.7207 0.0590 0.4510  2 Os 2.93-2.95
7 Nd 0.7976 0.6454 0.3924  2 Os 3.00-3.07, 1 Tl 3.31
8 Nd 0.9410 0.2793 0.0490  2 Os 2.93-2.95
9 Tl 0.3769 0.6231 0.2500  8 Nd 3.31-3.49
10 Tl 0.6231 0.3769 0.7500  8 Nd 3.31-3.49
11 Os 0.0000 0.0000 0.2500  8 Nd 2.93-3.07, 2 Os 3.17
12 Os 0.0000 0.0000 0.7500  8 Nd 2.93-3.07, 2 Os 3.17